Compound: Tb6NdIn5
Source: the Alexandria database
Functional: PBE
Structure: relaxed

The formation energy comes out at -0.386 eV/atom. The calculation puts the total magnetization at 0.00 Bohr magnetons per cell.

The structure belongs to space group Immm (No. 71); the cell edges are 5.019, 8.811 and 15.178 Å and the angles 90.00°, 90.00° and 90.00°. The distinct sites, in fractional coordinates, are Tb at (0.000, 0.226, 0.000), Tb at (0.000, 0.264, 0.330), Nd at (0.000, 0.000, 0.500), In at (0.000, 0.000, 0.178), In at (0.000, 0.500, 0.154) and In at (0.000, 0.500, 0.500).

***

Compound: TcWN
Source: the Alexandria database
Functional: PBE
Structure: relaxed

Its energy above the most stable polymorph in this dataset is 37.1 meV per atom. The uncorrected formation energy comes out at -0.097 eV per atom. The calculation puts the total magnetization at 0.00 Bohr magnetons per cell.

The structure belongs to space group P2/m (No. 10); the cell edges are 5.021, 2.901 and 5.176 Å and the angles 90.00°, 108.92° and 90.00°. The distinct sites, in fractional coordinates, are Tc at (0.244, 0.000, 0.212), W at (0.266, 0.500, 0.775), N at (0.000, 0.000, 0.500) and N at (0.500, 0.500, 0.500).

***

Compound: Ta2SbHBr
Source: the Alexandria database
Functional: PBE
Structure: relaxed

Its final energy is -5.86 eV per atom. The calculation puts the total magnetization at 0.00 Bohr magnetons per cell.

The structure belongs to space group P4/mmm (No. 123); the cell edges are 4.440, 4.440 and 4.215 Å and the angles 90.00°, 90.00° and 90.00°. The distinct sites, in fractional coordinates, are Ta at (0.000, 0.500, 0.000), Sb at (0.000, 0.000, 0.500), H at (0.500, 0.500, 0.000) and Br at (0.500, 0.500, 0.500).